Entry 1:
The following is a GGA-PBE calculation of Na2Sb2C after structural relaxation, from Alexandria.

```
5
Lattice="-2.096 2.096 8.513 2.096 -2.096 8.513 2.096 2.096 -8.513" Properties=species:S:1:pos:R:3 pbc="T T T"
Na 0.000 0.000 1.585
Na 0.000 0.000 15.440
Sb 2.096 0.000 4.256
Sb 0.000 2.096 4.256
C 0.000 0.000 8.513
```

Computed properties:
The value obtained for the energy above the lowest structure with this stoichiometry is 0.053 eV per atom. As for the uncorrected formation energy: 1.0468 eV/atom. The density of states at the Fermi level comes out at 0.329 states/eV per atom.

***

Entry 2:
The following is a GGA-PBE calculation of Tb9Dy4Zn11 after structural relaxation, from Alexandria.

```
24
Lattice="7.690 -10.613 0.000 7.690 10.613 0.000 0.000 0.000 3.464" Properties=species:S:1:pos:R:3 pbc="T T T"
Tb 0.000 0.000 0.000
Tb 5.928 5.577 0.000
Tb 5.932 1.932 0.000
Tb 9.452 5.577 0.000
Tb 5.932 -1.932 0.000
Tb 9.449 1.932 0.000
Tb 5.928 -5.577 0.000
Tb 9.449 -1.932 0.000
Tb 9.452 -5.577 0.000
Dy 2.573 1.854 0.000
Dy 2.573 -1.854 0.000
Dy 12.807 1.854 0.000
Dy 12.807 -1.854 0.000
Zn 4.078 3.856 1.732
Zn 7.690 7.844 1.732
Zn 4.307 0.000 1.732
Zn 7.690 3.721 1.732
Zn 4.078 -3.856 1.732
Zn 7.690 0.000 1.732
Zn 11.302 3.856 1.732
Zn 7.690 -3.721 1.732
Zn 11.073 0.000 1.732
Zn 7.690 -7.844 1.732
Zn 11.302 -3.856 1.732
```

Computed properties:
The density of states at the Fermi level comes out at 1.066 states/eV per atom. Its final energy is -3.33 eV per atom.

***

Entry 3:
The following is a GGA-PBE calculation of YTe2Se after structural relaxation, from Alexandria.

```
4
Lattice="2.004 1.157 9.381 -2.004 1.157 9.381 0.000 -2.314 9.381" Properties=species:S:1:pos:R:3 pbc="T T T"
Y 0.000 0.000 0.000
Te 0.000 0.000 13.839
Te 0.000 0.000 20.999
Se 0.000 0.000 7.902
```

Computed properties:
As for the uncorrected formation energy: -0.6588 eV/atom. The density of states at the Fermi level comes out at 0.955 states/eV per atom.

***

Entry 4:
The following is a GGA-PBE calculation of La2Sm3S8 after structural relaxation, from Alexandria.

```
13
Lattice="7.068 -4.136 0.000 7.068 4.136 0.000 -2.399 0.000 6.463" Properties=species:S:1:pos:R:3 pbc="T T T"
La 2.917 0.000 0.985
La 8.821 0.000 5.478
Sm 5.869 2.177 3.232
Sm 7.068 0.000 0.000
Sm 5.869 -2.177 3.232
S 0.688 0.000 2.777
S 5.123 1.885 0.566
S 4.090 0.000 3.687
S 6.614 1.885 5.897
S 5.123 -1.885 0.566
S 7.648 0.000 2.776
S 6.614 -1.885 5.897
S 11.049 0.000 3.686
```

Computed properties:
As for the uncorrected formation energy: -1.9138 eV/atom. The density of states at the Fermi level comes out at 0.624 states/eV per atom.

***

Entry 5:
The following is a GGA-PBE calculation of SrCr2Ir after structural relaxation, from Alexandria.

```
4
Lattice="3.071 0.000 0.000 0.000 3.098 0.000 0.000 0.000 7.751" Properties=species:S:1:pos:R:3 pbc="T T T"
Sr 0.000 0.000 0.000
Cr 0.000 0.000 3.718
Cr 1.535 1.549 5.047
Ir 1.535 1.549 2.304
```

Computed properties:
The value obtained for the energy above the lowest structure with this stoichiometry is 0.000 eV per atom. The density of states at the Fermi level comes out at 0.581 states/eV per atom.

***

Entry 6:
The following is a GGA-PBE calculation of Rb3Os2O7 after structural relaxation, from Alexandria.

```
12
Lattice="1.981 -11.946 0.000 1.981 11.946 0.000 0.000 0.000 3.950" Properties=species:S:1:pos:R:3 pbc="T T T"
Rb 0.000 0.000 0.000
Rb 1.981 7.698 0.000
Rb 1.981 -7.698 0.000
Os 1.981 2.014 1.975
Os 1.981 -2.014 1.975
O 1.981 9.937 1.975
O 1.981 3.891 1.975
O 1.981 2.007 0.000
O 1.981 0.000 1.975
O 1.981 -2.007 0.000
O 1.981 -3.891 1.975
O 1.981 -9.937 1.975
```

Computed properties:
As for the uncorrected formation energy: -1.2061 eV/atom. The density of states at the Fermi level comes out at 0.662 states/eV per atom.

***

Entry 7:
The following is a GGA-PBE calculation of VIn2GaRu after structural relaxation, from Alexandria.

```
5
Lattice="4.971 0.000 0.000 0.000 4.971 0.000 0.000 0.000 4.534" Properties=species:S:1:pos:R:3 pbc="T T T"
V 0.000 0.000 0.000
In 0.000 2.486 2.267
In 2.486 0.000 2.267
Ga 2.486 2.486 2.267
Ru 2.486 2.486 0.000
```

Computed properties:
The value obtained for the energy above the lowest structure with this stoichiometry is 0.000 eV per atom. The density of states at the Fermi level comes out at 2.210 states/eV per atom.

***

Entry 8:
The following is a GGA-PBE calculation of Ba5H12Au3 after structural relaxation, from Alexandria.

```
80
Lattice="-7.137 7.137 7.137 7.137 -7.137 7.137 7.137 7.137 -7.137" Properties=species:S:1:pos:R:3 pbc="T T T"
Ba 0.000 0.000 0.000
Ba 3.568 3.568 -3.568
Ba 3.568 -3.568 3.568
Ba 7.137 0.000 0.000
Ba 10.705 1.784 0.000
Ba 7.137 -3.568 5.353
Ba 5.353 7.137 -3.568
Ba 5.353 0.000 3.568
Ba 3.568 5.353 0.000
Ba 7.137 3.568 1.784
Ba -3.568 3.568 3.568
Ba 0.000 7.137 0.000
Ba 0.000 0.000 7.137
Ba 3.568 3.568 3.568
Ba 0.000 3.568 5.353
Ba 3.568 1.784 7.137
Ba 1.784 7.137 3.568
Ba 1.784 0.000 10.705
Ba 0.000 10.705 1.784
Ba -3.568 5.353 7.137
H 6.051 -2.763 3.080
H 11.791 -0.488 0.805
H 6.051 4.374 -3.080
H 4.655 0.488 0.805
H 7.625 6.332 -4.655
H 3.080 -1.086 2.763
H 2.763 3.080 -1.086
H 7.942 2.482 -0.488
H 4.374 -3.080 6.051
H 6.332 -4.655 7.625
H 3.080 6.051 -2.763
H 7.625 0.805 2.482
H 7.625 -0.805 4.655
H 10.217 1.086 2.763
H 4.374 3.080 1.086
H 6.332 4.655 -0.488
H 0.805 4.655 0.488
H 9.900 4.057 1.086
H 0.488 0.805 4.655
H 3.080 1.086 4.374
H -1.086 2.763 3.080
H 4.655 -0.488 6.332
H 4.655 7.625 -0.805
H 6.051 2.763 4.057
H 1.086 4.374 3.080
H 2.482 -0.488 7.942
H 2.482 7.625 0.805
H 8.223 4.374 4.057
H 4.057 6.051 2.763
H 6.649 6.332 2.482
H -2.763 3.080 6.051
H 6.332 2.482 6.649
H 0.805 2.482 7.625
H 2.763 4.057 6.051
H -3.080 6.051 4.374
H -0.488 7.942 2.482
H -0.488 6.332 4.655
H 4.057 1.086 9.900
H 0.805 11.791 -0.488
H 2.763 10.217 1.086
H -0.805 4.655 7.625
H 4.374 4.057 8.223
H 4.057 8.223 4.374
H -0.488 0.805 11.791
H 2.482 6.649 6.332
H 1.086 2.763 10.217
H -4.655 7.625 6.332
H 1.086 9.900 4.057
Au 3.568 1.784 0.000
Au 7.137 3.568 -1.784
Au 1.784 0.000 3.568
Au 8.921 0.000 3.568
Au 0.000 3.568 1.784
Au 3.568 -1.784 7.137
Au 3.568 8.921 0.000
Au 7.137 3.568 5.353
Au -1.784 7.137 3.568
Au 5.353 7.137 3.568
Au 0.000 3.568 8.921
Au 3.568 5.353 7.137
```

Computed properties:
The density of states at the Fermi level comes out at 0.308 states/eV per atom. Its final energy is -3.18 eV per atom.

***

Entry 9:
The following is a GGA-PBE calculation of Na2PaGeS5 after structural relaxation, from Alexandria.

```
18
Lattice="2.085 -8.525 0.000 2.085 8.525 0.000 0.000 0.000 12.960" Properties=species:S:1:pos:R:3 pbc="T T T"
Na 2.085 6.972 6.480
Na 2.085 6.797 2.430
Na 2.085 -6.797 8.910
Na 2.085 -6.972 0.000
Pa 2.085 4.735 11.369
Pa 2.085 -4.735 4.889
Ge 2.085 1.129 3.492
Ge 2.085 -1.129 9.972
S 2.085 7.535 11.104
S 2.085 3.736 6.539
S 2.085 3.491 3.089
S 2.085 2.267 10.981
S 2.085 0.159 1.522
S 2.085 -0.159 8.003
S 2.085 -2.267 4.501
S 2.085 -3.491 9.569
S 2.085 -3.736 0.059
S 2.085 -7.535 4.624
```

Computed properties:
As for the uncorrected formation energy: -1.0653 eV/atom. The density of states at the Fermi level comes out at 0.231 states/eV per atom.

***

Entry 10:
The following is a GGA-PBE calculation of MnCuMo2 after structural relaxation, from Alexandria.

```
4
Lattice="0.000 3.061 3.061 3.061 0.000 3.061 3.061 3.061 0.000" Properties=species:S:1:pos:R:3 pbc="T T T"
Mn 0.000 0.000 0.000
Cu 1.531 1.531 1.531
Mo 3.061 3.061 3.061
Mo 4.592 4.592 4.592
```

Computed properties:
The value obtained for the energy above the lowest structure with this stoichiometry is 0.115 eV per atom. The density of states at the Fermi level comes out at 1.316 states/eV per atom.

***

Entry 11:
The following is a GGA-PBE calculation of ZnGa4Ni3 after structural relaxation, from Alexandria.

```
8
Lattice="3.765 0.000 0.000 0.000 3.765 0.000 0.000 0.000 8.553" Properties=species:S:1:pos:R:3 pbc="T T T"
Zn 0.000 0.000 0.000
Ga 0.000 1.883 2.714
Ga 0.000 1.883 5.839
Ga 1.883 0.000 2.714
Ga 1.883 0.000 5.839
Ni 0.000 0.000 4.276
Ni 1.883 1.883 1.144
Ni 1.883 1.883 7.409
```

Computed properties:
The density of states at the Fermi level comes out at 0.452 states/eV per atom. Its final energy is -3.95 eV per atom.

***

Entry 12:
The following is a GGA-PBE calculation of BaCrCo4 after structural relaxation, from Alexandria.

```
6
Lattice="0.000 3.630 3.630 3.630 0.000 3.630 3.630 3.630 0.000" Properties=species:S:1:pos:R:3 pbc="T T T"
Ba 0.000 0.000 0.000
Cr 1.815 1.815 1.815
Co 4.521 2.740 2.740
Co 2.740 4.521 2.740
Co 2.740 2.740 4.521
Co 4.521 4.521 4.521
```

Computed properties:
The density of states at the Fermi level comes out at 1.444 states/eV per atom. Its final energy is -6.00 eV per atom.